PdPtNO after structural relaxation. Source: the Open Quantum Materials Database, functional GGA-PBE.

```
PdPtNO
1.0
4.0136 0.0000 0.0000
0.0000 4.0136 0.0000
0.0000 0.0000 6.2296
Pd Pt N O
2 2 2 2
Direct
0.2500 0.2500 0.0973
0.7500 0.7500 0.9027
0.2500 0.7500 0.5000
0.7500 0.2500 0.5000
0.2500 0.2500 0.6145
0.7500 0.7500 0.3855
0.2500 0.7500 0.0000
0.7500 0.2500 0.0000
```

Total DFT energy (no corrections)   -5.4284 eV/atom

=====

PdPtNO after structural relaxation. Source: the Open Quantum Materials Database, functional GGA-PBE.

```
PdPtNO
1.0
3.0916 0.0000 0.0000
0.0000 5.6444 0.0000
0.0000 0.0000 5.9206
Pd Pt N O
2 2 2 2
Direct
0.0000 0.1898 0.0000
0.0000 0.8102 0.5000
0.5000 0.4155 0.4801
0.5000 0.5845 0.9801
0.5000 0.2966 0.7939
0.5000 0.7034 0.2939
0.0000 0.1637 0.3778
0.0000 0.8363 0.8778
```

Total DFT energy (no corrections)   -5.6701 eV/atom

=====

PdPtNO after structural relaxation. Source: the Open Quantum Materials Database, functional GGA-PBE.

```
PdPtNO
1.0
2.9378 0.0000 0.0000
0.0000 5.8287 0.0000
0.0000 0.0000 5.9396
Pd Pt N O
2 2 2 2
Direct
0.0000 0.0775 0.0000
0.0000 0.9225 0.5000
0.5000 0.3162 0.4824
0.5000 0.6838 0.9824
0.0000 0.2095 0.6892
0.0000 0.7905 0.1892
0.5000 0.3526 0.1351
0.5000 0.6474 0.6351
```

Total DFT energy (no corrections)   -5.6788 eV/atom

=====

Q: What is the total DFT energy (no corrections) in the third record?
A: -5.6788 eV/atom